A relaxed structure of HfNpP. Source: the Alexandria database, functional PBE.

Symmetry: No. 166
Formation energy from the elements, kcal/mol of atoms: -14.8
Total energy, eV/atom: -10.07

abc: 3.6204 3.6204 10.5736
angles: 80.14 80.14 60.00
Positions (direct):
1 Np 0.1875 0.1875 0.4376
2 Hf 0.6265 0.6265 0.1205
3 Np 0.8125 0.8125 0.5624
4 Hf 0.3735 0.3735 0.8795
5 P 0.9126 0.9126 0.2621
6 P 0.0874 0.0874 0.7379